*1*
Entry from Alexandria via LeMat-Bulk: crystalline Ac3Tl at its relaxed geometry (PBE).

abc: 5.363 5.363 5.363
angles: 90.00 90.00 90.00
Positions (direct):
Ac1 0.000 0.000 0.500
Ac2 0.000 0.500 0.000
Ac3 0.500 0.000 0.000
Tl1 0.500 0.500 0.500

Results
The space group is Pm-3m. The value obtained for the total magnetic moment is 0.000 μB per atom. The density of states at the Fermi level is 7.197 states/eV per cell. The calculation puts the mass density at 9.53 g/cm3.

***

*2*
Entry from Alexandria via LeMat-Bulk: crystalline Ac3Tl at its relaxed geometry (PBE).

abc: 3.867 3.937 11.311
angles: 90.00 90.00 90.00
Positions (direct):
Ac1 0.000 0.000 0.000
Ac2 0.000 0.500 0.443
Ac3 0.500 0.500 0.745
Tl1 0.500 0.000 0.252

Results
The space group is Pmm2. The value obtained for the total magnetic moment is 0.000 μB per atom. The density of states at the Fermi level is 5.305 states/eV per cell. The calculation puts the mass density at 8.54 g/cm3.

***

*3*
Entry from Alexandria via LeMat-Bulk: crystalline Ac3Tl at its relaxed geometry (PBE).

abc: 7.732 7.732 6.006
angles: 90.00 90.00 120.00
Positions (direct):
Ac1 0.175 0.351 0.250
Ac2 0.175 0.825 0.250
Ac3 0.351 0.175 0.750
Ac4 0.649 0.825 0.250
Ac5 0.825 0.175 0.750
Ac6 0.825 0.649 0.750
Tl1 0.333 0.667 0.750
Tl2 0.667 0.333 0.250

Results
The space group is P6_3/mmc. The value obtained for the total magnetic moment is 0.000 μB per atom. The density of states at the Fermi level is 11.576 states/eV per cell. The calculation puts the mass density at 9.46 g/cm3.

***

It comes down to *1*, which is 0.011 eV/atom more stable than the next structure.

***

*1*
Entry from Alexandria via LeMat-Bulk: crystalline AcTl5 at its relaxed geometry (PBE).

abc: 7.594 7.594 5.221
angles: 90.00 90.00 141.77
Positions (direct):
Ac1 0.000 0.000 0.000
Tl1 0.172 0.828 0.500
Tl2 0.322 0.678 0.000
Tl3 0.500 0.500 0.500
Tl4 0.678 0.322 0.000
Tl5 0.828 0.172 0.500

Results
The space group is Cmmm. The value obtained for the total magnetic moment is 0.000 μB per atom. The density of states at the Fermi level is 4.020 states/eV per cell. The calculation puts the mass density at 11.13 g/cm3.

***

*2*
Entry from Alexandria via LeMat-Bulk: crystalline AcTl5 at its relaxed geometry (PBE).

abc: 8.643 8.643 4.200
angles: 90.00 90.00 142.56
Positions (direct):
Ac1 0.000 0.000 0.000
Tl1 0.175 0.825 0.500
Tl2 0.332 0.668 0.000
Tl3 0.500 0.500 0.500
Tl4 0.668 0.332 0.000
Tl5 0.825 0.175 0.500

Results
The space group is Cmmm. The value obtained for the total magnetic moment is 0.000 μB per atom. The density of states at the Fermi level is 4.575 states/eV per cell. The calculation puts the mass density at 10.87 g/cm3.

***

It comes down to *1*, which is 0.029 eV/atom more stable than the next structure.